FeGeOs3 | PBE | relaxed

## Properties
* space-group type: Pm-3m
* E_form: 8.804 eV per formula unit

Lattice parameters (Å, degrees): 4.433 4.433 4.433 90.00 90.00 90.00
Element x y z (fractional)
Fe (0.000, 0.000, 0.000)
Ge (0.500, 0.500, 0.500)
Os (0.000, 0.000, 0.500)
Os (0.000, 0.500, 0.000)
Os (0.500, 0.000, 0.000)


CaZr2Pt | PBE | relaxed

## Properties
* ΔE to the lowest computed polymorph: 368.9 meV per atom
* space-group type: C2/m
* E_form: -0.355 eV per formula unit

Lattice parameters (Å, degrees): 5.809 10.704 3.090 90.00 115.16 90.00
Element x y z (fractional)
Ca (0.000, 0.000, 0.000)
Ca (0.500, 0.500, 0.000)
Zr (0.250, 0.250, 0.500)
Zr (0.250, 0.750, 0.500)
Zr (0.750, 0.250, 0.500)
Zr (0.750, 0.750, 0.500)
Pt (0.000, 0.500, 0.000)
Pt (0.500, 0.000, 0.000)


Pr2ErTm2Sc2 | PBE | relaxed

## Properties
* space-group type: Immm
* E_form: 0.921 eV per formula unit

Lattice parameters (Å, degrees): 3.485 5.626 21.919 90.00 90.00 90.00
Element x y z (fractional)
Pr (0.000, 0.000, 0.140)
Pr (0.000, 0.000, 0.860)
Pr (0.500, 0.500, 0.360)
Pr (0.500, 0.500, 0.640)
Er (0.000, 0.500, 0.500)
Er (0.500, 0.000, 0.000)
Tm (0.000, 0.000, 0.412)
Tm (0.000, 0.000, 0.588)
Tm (0.500, 0.500, 0.088)
Tm (0.500, 0.500, 0.912)
Sc (0.000, 0.500, 0.226)
Sc (0.000, 0.500, 0.774)
Sc (0.500, 0.000, 0.274)
Sc (0.500, 0.000, 0.726)


NaTaI2O | PBE | relaxed

## Properties
* ΔE to the lowest computed polymorph: 1782.8 meV per atom
* formation energy from raw total energies: 0.8484 eV/atom
* space-group type: P4/mmm

Lattice parameters (Å, degrees): 5.464 5.464 3.906 90.00 90.00 90.00
Element x y z (fractional)
Na (0.000, 0.000, 0.000)
Ta (0.500, 0.500, 0.500)
I (0.000, 0.500, 0.000)
I (0.500, 0.000, 0.000)
O (0.000, 0.000, 0.500)


Number 1: total magnetic moment 0.0 μB per formula unit, calculated volume 87 Å³/cell, DFT total energy -0.2790 hartree per atom. Number 2: total magnetic moment 0.0 μB per formula unit, calculated volume 174 Å³/cell, DFT total energy -0.2342 hartree per atom. Number 3: total magnetic moment 0.0 μB per formula unit, calculated volume 430 Å³/cell, DFT total energy -0.1827 hartree per atom. Number 4: total magnetic moment 0.0 μB per formula unit, calculated volume 117 Å³/cell, DFT total energy -0.1249 hartree per atom.